Entry 1:
# CsRbSnF4 GGA-PBE optimized geometry
# - symmetry = I4mm, No. 107
# - energy (eV/f.u.) = -31.04
# - calculated volume (Å³/cell) = 170
data_CsRbSnF4
_symmetry_space_group_name_H-M 'P 1'
_symmetry_Int_Tables_number 1
_symmetry_space_group_name_Hall 'P 1'
_cell_length_a 4.533
_cell_length_b 4.533
_cell_length_c 8.885
_cell_angle_alpha 104.78
_cell_angle_beta 104.78
_cell_angle_gamma 90.00
loop_
_atom_site_label
_atom_site_type_symbol
_atom_site_fract_x
_atom_site_fract_y
_atom_site_fract_z
Rb1 Rb 0.355 0.355 0.709
Cs1 Cs 0.673 0.673 0.346
F1 F 0.965 0.465 0.929
F2 F 0.860 0.860 0.721
F3 F 0.193 0.193 0.386
F4 F 0.465 0.965 0.929
Sn1 Sn 0.990 0.990 0.980

=====

Entry 2:
# CsRb2SrF5 GGA-PBE optimized geometry
# - symmetry = Immm, No. 71
# - energy (eV/f.u.) = -41.36
# - calculated volume (Å³/cell) = 218
data_CsRb2SrF5
_symmetry_space_group_name_H-M 'P 1'
_symmetry_Int_Tables_number 1
_symmetry_space_group_name_Hall 'P 1'
_cell_length_a 4.703
_cell_length_b 6.794
_cell_length_c 7.972
_cell_angle_alpha 115.22
_cell_angle_beta 107.15
_cell_angle_gamma 90.00
loop_
_atom_site_label
_atom_site_type_symbol
_atom_site_fract_x
_atom_site_fract_y
_atom_site_fract_z
Cs1 Cs 0.000 0.500 0.000
F1 F 0.630 0.888 0.261
F2 F 0.370 0.628 0.739
F3 F 0.370 0.112 0.739
F4 F 0.000 0.000 0.000
F5 F 0.630 0.372 0.261
Rb1 Rb 0.784 0.784 0.567
Rb2 Rb 0.216 0.216 0.433
Sr1 Sr 0.500 0.000 0.000

=====

Entry 3:
# Cs2RbSrF5 GGA-PBE optimized geometry
# - symmetry = Immm, No. 71
# - energy (eV/f.u.) = -41.00
# - calculated volume (Å³/cell) = 231
data_Cs2RbSrF5
_symmetry_space_group_name_H-M 'P 1'
_symmetry_Int_Tables_number 1
_symmetry_space_group_name_Hall 'P 1'
_cell_length_a 4.705
_cell_length_b 6.856
_cell_length_c 8.269
_cell_angle_alpha 114.49
_cell_angle_beta 106.53
_cell_angle_gamma 90.00
loop_
_atom_site_label
_atom_site_type_symbol
_atom_site_fract_x
_atom_site_fract_y
_atom_site_fract_z
Rb1 Rb 0.000 0.500 0.000
F1 F 0.622 0.368 0.245
F2 F 0.378 0.632 0.755
F3 F 0.622 0.877 0.245
F4 F 0.000 0.000 0.000
F5 F 0.378 0.123 0.755
Sr1 Sr 0.500 0.000 0.000
Cs1 Cs 0.783 0.783 0.566
Cs2 Cs 0.217 0.217 0.434

=====

Entry 4:
# CsRbSrF4 GGA-PBE optimized geometry
# - symmetry = I4mm, No. 107
# - energy (eV/f.u.) = -33.29
# - calculated volume (Å³/cell) = 168
data_CsRbSrF4
_symmetry_space_group_name_H-M 'P 1'
_symmetry_Int_Tables_number 1
_symmetry_space_group_name_Hall 'P 1'
_cell_length_a 4.780
_cell_length_b 4.780
_cell_length_c 8.081
_cell_angle_alpha 107.20
_cell_angle_beta 107.20
_cell_angle_gamma 90.00
loop_
_atom_site_label
_atom_site_type_symbol
_atom_site_fract_x
_atom_site_fract_y
_atom_site_fract_z
Sr1 Sr 0.001 0.001 0.002
F1 F 0.838 0.838 0.677
F2 F 0.166 0.166 0.332
F3 F 0.995 0.495 0.991
F4 F 0.495 0.995 0.991
Rb1 Rb 0.354 0.354 0.708
Cs1 Cs 0.650 0.650 0.301

=====

Entry 5:
# Cs2RbTaF6 GGA-PBE optimized geometry
# - symmetry = Fm-3m, No. 225
# - energy (eV/f.u.) = -52.64
# - calculated volume (Å³/cell) = 221
data_Cs2RbTaF6
_symmetry_space_group_name_H-M 'P 1'
_symmetry_Int_Tables_number 1
_symmetry_space_group_name_Hall 'P 1'
_cell_length_a 6.785
_cell_length_b 6.785
_cell_length_c 6.785
_cell_angle_alpha 60.00
_cell_angle_beta 60.00
_cell_angle_gamma 60.00
loop_
_atom_site_label
_atom_site_type_symbol
_atom_site_fract_x
_atom_site_fract_y
_atom_site_fract_z
F1 F 0.219 0.219 0.781
F2 F 0.781 0.219 0.781
F3 F 0.781 0.219 0.219
F4 F 0.219 0.781 0.219
F5 F 0.781 0.781 0.219
F6 F 0.219 0.781 0.781
Ta1 Ta 0.000 0.000 0.000
Cs1 Cs 0.750 0.750 0.750
Cs2 Cs 0.250 0.250 0.250
Rb1 Rb 0.500 0.500 0.500

=====

Entry 6:
# CsRb2TaF6 GGA-PBE optimized geometry
# - symmetry = Fm-3m, No. 225
# - energy (eV/f.u.) = -52.12
# - calculated volume (Å³/cell) = 238
data_CsRb2TaF6
_symmetry_space_group_name_H-M 'P 1'
_symmetry_Int_Tables_number 1
_symmetry_space_group_name_Hall 'P 1'
_cell_length_a 6.957
_cell_length_b 6.957
_cell_length_c 6.956
_cell_angle_alpha 60.00
_cell_angle_beta 60.00
_cell_angle_gamma 90.00
loop_
_atom_site_label
_atom_site_type_symbol
_atom_site_fract_x
_atom_site_fract_y
_atom_site_fract_z
F1 F 0.210 0.790 0.000
F2 F 0.210 0.210 0.580
F3 F 0.790 0.210 0.000
F4 F 0.790 0.790 0.000
F5 F 0.210 0.210 0.000
F6 F 0.790 0.790 0.420
Cs1 Cs 0.500 0.500 0.000
Rb1 Rb 0.750 0.250 0.500
Rb2 Rb 0.250 0.750 0.500
Ta1 Ta 0.000 0.000 0.000

=====

Entry 7:
# CsRb2TcF6 GGA-PBE optimized geometry
# - energy above the most stable polymorph in this dataset (eV per atom) = 0.0467
# - symmetry = I4/mmm, No. 139
# - calculated volume (Å³/cell) = 224
data_CsRb2TcF6
_symmetry_space_group_name_H-M 'P 1'
_symmetry_Int_Tables_number 1
_symmetry_space_group_name_Hall 'P 1'
_cell_length_a 6.840
_cell_length_b 6.840
_cell_length_c 6.805
_cell_angle_alpha 59.83
_cell_angle_beta 59.83
_cell_angle_gamma 90.00
loop_
_atom_site_label
_atom_site_type_symbol
_atom_site_fract_x
_atom_site_fract_y
_atom_site_fract_z
F1 F 0.713 0.287 0.000
F2 F 0.287 0.713 0.000
F3 F 0.290 0.290 0.421
F4 F 0.287 0.287 0.000
F5 F 0.710 0.710 0.579
F6 F 0.713 0.713 0.000
Rb1 Rb 0.750 0.250 0.500
Rb2 Rb 0.250 0.750 0.500
Tc1 Tc 0.500 0.500 0.000
Cs1 Cs 0.000 0.000 0.000

=====

Entry 8:
# CsRb2TcF6 GGA-PBE optimized geometry
# - energy above the most stable polymorph in this dataset (eV per atom) = 0.0000
# - symmetry = Pmmn, No. 59
# - calculated volume (Å³/cell) = 457
data_CsRb2TcF6
_symmetry_space_group_name_H-M 'P 1'
_symmetry_Int_Tables_number 1
_symmetry_space_group_name_Hall 'P 1'
_cell_length_a 6.157
_cell_length_b 7.783
_cell_length_c 9.546
_cell_angle_alpha 90.00
_cell_angle_beta 90.00
_cell_angle_gamma 90.00
loop_
_atom_site_label
_atom_site_type_symbol
_atom_site_fract_x
_atom_site_fract_y
_atom_site_fract_z
F1 F 0.727 0.990 0.500
F2 F 0.000 0.818 0.218
F3 F 0.227 0.010 0.000
F4 F 0.737 0.365 0.500
F5 F 0.773 0.010 0.000
F6 F 0.000 0.818 0.782
F7 F 0.273 0.990 0.500
F8 F 0.500 0.182 0.282
F9 F 0.263 0.365 0.500
F10 F 0.763 0.635 0.000
F11 F 0.500 0.182 0.718
F12 F 0.237 0.635 0.000
Rb1 Rb 0.500 0.833 0.792
Rb2 Rb 0.500 0.833 0.208
Rb3 Rb 0.000 0.167 0.708
Rb4 Rb 0.000 0.167 0.292
Tc1 Tc 0.500 0.183 0.500
Tc2 Tc 0.000 0.817 0.000
Cs1 Cs 0.000 0.674 0.500
Cs2 Cs 0.500 0.326 0.000

=====

Entry 9:
# Cs2RbTcF6 GGA-PBE optimized geometry
# - symmetry = I4/mmm, No. 139
# - energy (eV/f.u.) = -48.83
# - calculated volume (Å³/cell) = 213
data_Cs2RbTcF6
_symmetry_space_group_name_H-M 'P 1'
_symmetry_Int_Tables_number 1
_symmetry_space_group_name_Hall 'P 1'
_cell_length_a 6.690
_cell_length_b 6.690
_cell_length_c 6.717
_cell_angle_alpha 60.13
_cell_angle_beta 60.13
_cell_angle_gamma 90.00
loop_
_atom_site_label
_atom_site_type_symbol
_atom_site_fract_x
_atom_site_fract_y
_atom_site_fract_z
F1 F 0.784 0.784 0.000
F2 F 0.782 0.782 0.436
F3 F 0.218 0.218 0.564
F4 F 0.216 0.216 0.000
F5 F 0.784 0.216 0.000
F6 F 0.216 0.784 0.000
Rb1 Rb 0.500 0.500 0.000
Cs1 Cs 0.250 0.750 0.500
Cs2 Cs 0.750 0.250 0.500
Tc1 Tc 0.000 0.000 0.000

=====

Entry 10:
# CsRbTcF6 GGA-PBE optimized geometry
# - symmetry = P-31c, No. 163
# - energy (eV/f.u.) = -46.40
# - calculated volume (Å³/cell) = 394
data_CsRbTcF6
_symmetry_space_group_name_H-M 'P 1'
_symmetry_Int_Tables_number 1
_symmetry_space_group_name_Hall 'P 1'
_cell_length_a 6.865
_cell_length_b 6.865
_cell_length_c 9.655
_cell_angle_alpha 90.00
_cell_angle_beta 90.00
_cell_angle_gamma 120.00
loop_
_atom_site_label
_atom_site_type_symbol
_atom_site_fract_x
_atom_site_fract_y
_atom_site_fract_z
F1 F 0.665 0.094 0.363
F2 F 0.335 0.428 0.863
F3 F 0.094 0.428 0.637
F4 F 0.572 0.665 0.637
F5 F 0.094 0.665 0.863
F6 F 0.665 0.572 0.137
F7 F 0.572 0.906 0.863
F8 F 0.428 0.335 0.363
F9 F 0.906 0.335 0.137
F10 F 0.335 0.906 0.637
F11 F 0.906 0.572 0.363
F12 F 0.428 0.094 0.137
Cs1 Cs 0.000 0.000 0.000
Cs2 Cs 0.000 0.000 0.500
Rb1 Rb 0.667 0.333 0.750
Rb2 Rb 0.333 0.667 0.250
Tc1 Tc 0.667 0.333 0.250
Tc2 Tc 0.333 0.667 0.750